[1]
Sm4Pd2Au (PBE-GGA, optimized geometry); mass density = 8.70 g/cm³; energy = -36.61 eV per cell; space-group type = No. 166
1.0
4.576 0.000 0.000
2.288 3.963 0.000
2.288 1.321 10.650
Sm Pd Au
4 2 1
Cartesian
4.576 2.642 9.108
2.288 1.321 4.192
6.863 3.963 6.457
4.576 2.642 1.542
2.288 1.321 7.670
6.863 3.963 2.979
0.000 0.000 0.000



[2]
BeTeI2 (PBE-GGA, optimized geometry); mass density = 4.47 g/cm³; energy = -18.16 eV per cell; relative energy among the computed polymorphs = 0.000 eV per atom; space-group type = No. 122; formation energy without anion corrections = 0.222 eV per atom
1.0
7.591 0.000 0.000
0.000 7.591 0.000
3.795 3.795 5.040
I Be Te
4 2 2
Cartesian
4.710 1.898 1.260
2.881 5.693 1.260
5.693 6.676 3.780
9.488 8.505 3.780
3.795 3.795 0.000
3.795 7.591 2.520
0.000 0.000 0.000
7.591 3.795 2.520



[3]
In2HgPb9 (PBE-GGA, optimized geometry); mass density = 10.44 g/cm³; energy = -39.08 eV per cell; space-group type = No. 123
1.0
4.945 0.000 0.000
0.000 4.945 0.000
0.000 0.000 14.921
In Hg Pb
2 1 9
Cartesian
0.000 0.000 4.950
0.000 0.000 9.971
0.000 0.000 0.000
2.473 2.473 0.000
2.473 2.473 4.965
2.473 2.473 9.956
2.473 0.000 2.459
2.473 0.000 7.460
2.473 0.000 12.462
0.000 2.473 2.459
0.000 2.473 7.460
0.000 2.473 12.462



[4]
LaBe4Pt (PBE-GGA, optimized geometry); mass density = 7.37 g/cm³; energy = -25.81 eV per cell; space-group type = No. 216
1.0
0.000 3.468 3.468
3.468 0.000 3.468
3.468 3.468 0.000
La Be Pt
1 4 1
Cartesian
5.202 5.202 5.202
2.545 4.390 4.390
4.390 4.390 2.545
4.390 2.545 4.390
2.545 2.545 2.545
0.000 0.000 0.000



[5]
CrCoRu4 (PBE-GGA, optimized geometry); mass density = 9.57 g/cm³; energy = -49.75 eV per cell; relative energy among the computed polymorphs = 0.484 eV per atom; space-group type = No. 216
1.0
0.000 3.549 3.549
3.549 0.000 3.549
3.549 3.549 0.000
Cr Co Ru
1 1 4
Cartesian
0.000 0.000 0.000
5.323 5.323 5.323
2.661 4.436 4.436
4.436 4.436 2.661
4.436 2.661 4.436
2.661 2.661 2.661



[6]
Ta2GaSiO (PBE-GGA, optimized geometry); mass density = 9.06 g/cm³; energy = -33.01 eV per cell; space-group type = No. 123; formation energy without anion corrections = 0.821 eV per atom
1.0
-0.748 4.483 1.863
-3.175 -1.088 1.344
2.227 -1.358 4.162
Si O Ga Ta
1 1 1 2
Cartesian
-0.848 1.018 3.685
-1.587 -0.544 0.672
0.000 0.000 0.000
1.114 -0.679 2.081
-0.374 2.242 0.932



[7]
SrBiAs2Br (PBE-GGA, optimized geometry); mass density = 4.60 g/cm³; energy = -14.60 eV per cell; relative energy among the computed polymorphs = 0.548 eV per atom; space-group type = No. 123; formation energy without anion corrections = 0.386 eV per atom
1.0
5.868 0.000 0.000
0.000 5.868 0.000
0.000 0.000 5.521
Sr As Bi Br
1 2 1 1
Cartesian
0.000 0.000 0.000
0.000 2.934 0.000
2.934 0.000 0.000
2.934 2.934 2.761
0.000 0.000 2.761



[8]
LaTbPrAl (PBE-GGA, optimized geometry); mass density = 6.49 g/cm³; energy = -18.32 eV per cell; space-group type = No. 216
1.0
5.522 0.000 0.000
2.761 4.782 0.000
2.761 1.594 4.509
Pr Tb Al La
1 1 1 1
Cartesian
0.000 0.000 0.000
8.283 4.782 3.382
2.761 1.594 1.127
5.522 3.188 2.254



no.,total magnetization (μB per formula unit)
1,0.0
2,2.0
3,0.0
4,0.0
5,4.6
6,0.0
7,0.8
8,0.0